# 1
A plane-wave DFT calculation with PBE was carried out for AcMg9Rh3 after structural relaxation.

Computed properties:
For the formation energy, the calculation gives -3.8 eV/f.u. The calculation puts the energy at -88.6 eV for the cell shown. The calculated volume is 266.7 Å³/f.u.

Cell and atoms, written as CIF:
```
data_AcMg9Rh3
_chemical_formula_sum 'Ac2 Mg18 Rh6'
_cell_length_a 5.7299
_cell_length_b 13.7511
_cell_length_c 7.3316
_cell_angle_alpha 90.00
_cell_angle_beta 112.59
_cell_angle_gamma 90.00
_space_group_name_H-M_alt 'C 1 2/m 1'
_space_group_IT_number 12
_space_group_name_Hall '-C 2y'
loop_
_atom_site_label
_atom_site_fract_x
_atom_site_fract_y
_atom_site_fract_z
Ac1 0.0000 0.0000 0.0000
Mg1 0.0000 0.5000 0.5000
Mg2 0.1176 0.3845 0.2150
Mg3 0.1485 0.1783 0.3277
Rh1 0.0000 0.0000 0.5000
Rh2 0.2500 0.2500 0.0000
```

# 2
A plane-wave DFT calculation with PBE was carried out for AcMg2Rh after structural relaxation.

Computed properties:
Its distance to the lowest polymorph of the same formula is 0.252 eV per atom. For the formation energy, the calculation gives -0.8 eV/f.u. The calculation puts the energy at -46.3 eV for the cell shown. The calculated volume is 103.2 Å³/f.u.

Cell and atoms, written as CIF:
```
data_AcMg2Rh
_chemical_formula_sum 'Ac3 Mg6 Rh3'
_cell_length_a 4.4940
_cell_length_b 4.4940
_cell_length_c 17.6937
_cell_angle_alpha 90.00
_cell_angle_beta 90.00
_cell_angle_gamma 120.00
_space_group_name_H-M_alt 'R -3 m'
_space_group_IT_number 166
_space_group_name_Hall '-R 3 2"'
loop_
_atom_site_label
_atom_site_fract_x
_atom_site_fract_y
_atom_site_fract_z
Ac1 0.0000 0.0000 0.0000
Mg1 0.0000 0.0000 0.2037
Rh1 0.0000 0.0000 0.5000
```

# 3
A plane-wave DFT calculation with PBE was carried out for Ac3MgRh after structural relaxation.

Computed properties:
Its distance to the lowest polymorph of the same formula is 0.021 eV per atom. For the formation energy, the calculation gives -1.5 eV/f.u. The calculation puts the energy at -91.2 eV for the cell shown. The calculated volume is 184.5 Å³/f.u.

Cell and atoms, written as CIF:
```
data_Ac3MgRh
_chemical_formula_sum 'Ac12 Mg4 Rh4'
_cell_length_a 10.0862
_cell_length_b 7.4113
_cell_length_c 10.8755
_cell_angle_alpha 90.00
_cell_angle_beta 114.82
_cell_angle_gamma 90.00
_space_group_name_H-M_alt 'P 1 21/c 1'
_space_group_IT_number 14
_space_group_name_Hall '-P 2ybc'
loop_
_atom_site_label
_atom_site_fract_x
_atom_site_fract_y
_atom_site_fract_z
Ac1 0.0812 0.0783 0.3580
Ac2 0.2121 0.5780 0.5588
Ac3 0.3621 0.0909 0.7580
Mg1 0.4320 0.6672 0.9320
Rh1 0.0739 0.2504 0.1053
```

# 4
A plane-wave DFT calculation with PBE was carried out for Ac2MgRh after structural relaxation.

Computed properties:
For the formation energy, the calculation gives -0.7 eV/f.u. The calculation puts the energy at -53.5 eV for the cell shown. The calculated volume is 166.5 Å³/f.u.

Cell and atoms, written as CIF:
```
data_Ac2MgRh
_chemical_formula_sum 'Ac6 Mg3 Rh3'
_cell_length_a 4.2396
_cell_length_b 4.2396
_cell_length_c 32.0960
_cell_angle_alpha 90.00
_cell_angle_beta 90.00
_cell_angle_gamma 120.00
_space_group_name_H-M_alt 'R -3 m'
_space_group_IT_number 166
_space_group_name_Hall '-R 3 2"'
loop_
_atom_site_label
_atom_site_fract_x
_atom_site_fract_y
_atom_site_fract_z
Ac1 0.0000 0.0000 0.1156
Mg1 0.0000 0.0000 0.0000
Rh1 0.0000 0.0000 0.5000
```

# 5
A plane-wave DFT calculation with PBE was carried out for AcMg4Rh2 after structural relaxation.

Computed properties:
Its distance to the lowest polymorph of the same formula is 0.078 eV per atom. For the formation energy, the calculation gives -2.7 eV/f.u. The calculation puts the energy at -55.7 eV for the cell shown. The calculated volume is 153.4 Å³/f.u.

Cell and atoms, written as CIF:
```
data_AcMg4Rh2
_chemical_formula_sum 'Ac2 Mg8 Rh4'
_cell_length_a 4.2462
_cell_length_b 16.6012
_cell_length_c 4.3510
_cell_angle_alpha 90.00
_cell_angle_beta 90.00
_cell_angle_gamma 90.00
_space_group_name_H-M_alt 'C m m m'
_space_group_IT_number 65
_space_group_name_Hall '-C 2 2'
loop_
_atom_site_label
_atom_site_fract_x
_atom_site_fract_y
_atom_site_fract_z
Ac1 0.0000 0.0000 0.0000
Mg1 0.0000 0.1786 0.5000
Mg2 0.0000 0.3244 0.0000
Rh1 0.0000 0.4204 0.5000
```

# 6
A plane-wave DFT calculation with PBE was carried out for Ac2MgRh after structural relaxation.

Computed properties:
For the formation energy, the calculation gives -1.6 eV/f.u. The calculation puts the energy at -37.5 eV for the cell shown. The calculated volume is 133.4 Å³/f.u.

Cell and atoms, written as CIF:
```
data_Ac2MgRh
_chemical_formula_sum 'Ac4 Mg2 Rh2'
_cell_length_a 12.7096
_cell_length_b 4.3324
_cell_length_c 5.3362
_cell_angle_alpha 90.00
_cell_angle_beta 114.76
_cell_angle_gamma 90.00
_space_group_name_H-M_alt 'C 1 2/m 1'
_space_group_IT_number 12
_space_group_name_Hall '-C 2y'
loop_
_atom_site_label
_atom_site_fract_x
_atom_site_fract_y
_atom_site_fract_z
Ac1 0.1646 0.0000 0.1645
Mg1 0.0000 0.5000 0.5000
Rh1 0.0000 0.5000 0.0000
```

# 7
A plane-wave DFT calculation with PBE was carried out for Ac3MgRh2 after structural relaxation.

Computed properties:
For the formation energy, the calculation gives -2.9 eV/f.u. The calculation puts the energy at -126.2 eV for the cell shown. The calculated volume is 191.6 Å³/f.u.

Cell and atoms, written as CIF:
```
data_Ac3MgRh2
_chemical_formula_sum 'Ac12 Mg4 Rh8'
_cell_length_a 16.9783
_cell_length_b 4.4120
_cell_length_c 11.3273
_cell_angle_alpha 90.00
_cell_angle_beta 115.41
_cell_angle_gamma 90.00
_space_group_name_H-M_alt 'C 1 2/m 1'
_space_group_IT_number 12
_space_group_name_Hall '-C 2y'
loop_
_atom_site_label
_atom_site_fract_x
_atom_site_fract_y
_atom_site_fract_z
Ac1 0.0489 0.0000 0.2379
Ac2 0.1551 0.5000 0.9997
Ac3 0.2120 0.0000 0.6115
Mg1 0.0633 0.5000 0.6431
Rh1 0.1177 0.5000 0.4295
Rh2 0.1440 0.0000 0.8214
```

# 8
A plane-wave DFT calculation with PBE was carried out for AcMg2Rh after structural relaxation.

Computed properties:
Its distance to the lowest polymorph of the same formula is 0.252 eV per atom. For the formation energy, the calculation gives -0.8 eV/f.u. The calculation puts the energy at -15.4 eV for the cell shown. The calculated volume is 94.5 Å³/f.u.

Cell and atoms, written as CIF:
```
data_AcMg2Rh
_chemical_formula_sum 'Ac1 Mg2 Rh1'
_cell_length_a 3.3850
_cell_length_b 3.3850
_cell_length_c 8.2457
_cell_angle_alpha 90.00
_cell_angle_beta 90.00
_cell_angle_gamma 90.00
_space_group_name_H-M_alt 'P 4/m m m'
_space_group_IT_number 123
_space_group_name_Hall '-P 4 2'
loop_
_atom_site_label
_atom_site_fract_x
_atom_site_fract_y
_atom_site_fract_z
Ac1 0.0000 0.0000 0.0000
Mg1 0.5000 0.5000 0.3298
Rh1 0.0000 0.0000 0.5000
```

Q: Which of these has the highest energy?
A: number 8

Q: Number 2 is which compound?
A: AcMg2Rh

Q: Number 5 is which compound?
A: AcMg4Rh2